# 1
W2N2F | Alexandria via LeMat-Bulk | GGA+U | relaxed; final energy = -6.523 eV per atom; calculated density = 12.62 g/cm³; energy above the most stable polymorph in this dataset = 0.257 eV per formula unit
1.0
6.270 0.000 0.000
0.000 6.270 0.000
0.000 0.000 2.776
W N F
4 4 2
direct
0.648 0.148 0.000
0.148 0.352 0.000
0.852 0.648 0.000
0.352 0.852 0.000
0.145 0.645 0.500
0.855 0.355 0.500
0.645 0.855 0.500
0.355 0.145 0.500
0.500 0.500 0.000
0.000 0.000 0.000



# 2
W2N2F | Alexandria via LeMat-Bulk | GGA+U | relaxed; final energy = -6.575 eV per atom; calculated density = 11.29 g/cm³; energy above the most stable polymorph in this dataset = 0.000 eV per formula unit
1.0
3.873 0.000 0.000
0.000 3.873 0.000
1.936 1.936 4.066
F W N
1 2 2
direct
0.000 0.000 0.000
0.653 0.653 0.694
0.347 0.347 0.306
0.250 0.750 0.500
0.750 0.250 0.500



# 3
W3NF | Alexandria via LeMat-Bulk | GGA+U | relaxed; final energy = -5.384 eV per atom; calculated density = 13.34 g/cm³; energy above the most stable polymorph in this dataset = 0.000 eV per formula unit
1.0
4.175 0.000 0.000
0.000 4.175 0.000
0.000 0.000 4.175
N W F
1 3 1
direct
0.000 0.000 0.000
0.000 0.500 0.000
0.000 0.000 0.500
0.500 0.000 0.000
0.500 0.500 0.500



# 4
WNF3 | Alexandria via LeMat-Bulk | GGA+U | relaxed; final energy = -5.216 eV per atom; calculated density = 5.50 g/cm³; energy above the most stable polymorph in this dataset = 0.000 eV per formula unit
1.0
4.253 0.000 0.000
0.000 4.253 0.000
0.000 0.000 4.253
F N W
3 1 1
direct
0.000 0.500 0.000
0.500 0.000 0.000
0.000 0.000 0.500
0.500 0.500 0.500
0.000 0.000 0.000



# 5
WNF2 | Alexandria via LeMat-Bulk | GGA+U | relaxed; final energy = -4.581 eV per atom; calculated density = 5.26 g/cm³
1.0
1.757 0.000 9.275
-0.878 1.522 9.275
-0.878 -1.522 9.275
N F W
1 2 1
direct
0.500 0.500 0.500
0.933 0.933 0.933
0.067 0.067 0.067
0.000 0.000 0.000



# 6
ZnWNF2 | Alexandria via LeMat-Bulk | GGA+U | relaxed; final energy = -4.962 eV per atom; calculated density = 6.80 g/cm³; energy above the most stable polymorph in this dataset = 0.000 eV per formula unit
1.0
-0.176 1.223 -4.106
-3.621 -2.240 -0.512
-2.139 3.218 1.049
W F Zn N
1 2 1 1
direct
0.000 0.000 0.000
0.500 0.000 0.000
0.000 0.500 0.000
0.500 0.500 0.500
0.000 0.000 0.500



# 7
ZnWNF2 | Alexandria via LeMat-Bulk | GGA+U | relaxed; final energy = -4.446 eV per atom; calculated density = 7.49 g/cm³; energy above the most stable polymorph in this dataset = 2.583 eV per formula unit
1.0
3.661 0.000 0.000
0.000 3.661 0.000
0.000 0.000 4.983
W N Zn F
1 1 1 2
direct
0.500 0.500 0.500
0.000 0.000 0.500
0.000 0.000 0.000
0.500 0.000 0.000
0.000 0.500 0.000



# 8
ZrWNF2 | Alexandria via LeMat-Bulk | GGA+U | relaxed; final energy = -6.196 eV per atom; calculated density = 7.20 g/cm³; energy above the most stable polymorph in this dataset = 2.209 eV per formula unit
1.0
4.159 0.000 0.000
0.000 4.159 0.000
0.000 0.000 4.361
W N F Zr
1 1 2 1
direct
0.000 0.000 0.000
0.000 0.000 0.500
0.500 0.000 0.000
0.000 0.500 0.000
0.500 0.500 0.500



# 9
ZrWNF2 | Alexandria via LeMat-Bulk | GGA+U | relaxed; final energy = -6.637 eV per atom; calculated density = 6.91 g/cm³; energy above the most stable polymorph in this dataset = 0.000 eV per formula unit
1.0
4.254 0.000 0.000
0.000 4.254 0.000
0.000 0.000 4.343
N F W Zr
1 2 1 1
direct
0.000 0.000 0.500
0.000 0.500 0.000
0.500 0.000 0.000
0.500 0.500 0.500
0.000 0.000 0.000



Q: Which formula does entry 7 have?
A: ZnWNF2



Q: Among the records above, which one has the highest calculated density?
A: W3NF



Q: The lowest final energy belongs to which entry?
A: number 9



Q: Look up the calculated density of the ninth one.
A: 6.91 g/cm³